# Li2Ni3P9O28 PBE+U relaxed
# - calculated total energy (eV per cell) = -276.6
data_Li2Ni3P9O28
_space_group_name_H-M_alt 'P -1'
_space_group_IT_number 2
_space_group_name_Hall '-P 1'
_cell_length_a 7.0679
_cell_length_b 8.9354
_cell_length_c 9.1735
_cell_angle_alpha 110.85
_cell_angle_beta 110.43
_cell_angle_gamma 98.19
loop_
_atom_site_label
_atom_site_fract_x
_atom_site_fract_y
_atom_site_fract_z
Li1 0.1094 0.3901 0.1859
Ni1 0.0000 0.0000 0.0000
Ni2 0.2692 0.5161 0.7540
P1 0.1772 0.1974 0.4179
P2 0.1857 0.7373 0.5348
P3 0.2929 0.2650 0.9422
P4 0.3568 0.8342 0.1063
P5 0.5000 0.0000 0.5000
O1 0.0353 0.8551 0.5578
O2 0.0657 0.5830 0.3598
O3 0.0834 0.1761 0.9281
O4 0.1072 0.1855 0.2351
O5 0.2223 0.6550 0.9714
O6 0.2545 0.6996 0.6908
O7 0.2624 0.3299 0.8064
O8 0.2726 0.0560 0.4431
O9 0.2776 0.9743 0.0768
O10 0.3067 0.3764 0.5468
O11 0.3846 0.8543 0.5498
O12 0.4030 0.8456 0.2918
O13 0.4160 0.1290 0.8976
O14 0.4245 0.4000 0.1304